No. 1
# Th4Bi2PbC, relaxed, DFT GGA-PBE
# E (eV/cell): -52.9
# ρ (g/cm3): 10.68
# Formation energy from the elements (eV per atom): -0.31
# D(E_F) (states/eV/cell): 5.22
data_Th4Bi2PbC
_cell_length_a 7.818
_cell_length_b 4.103
_cell_length_c 7.904
_cell_angle_alpha 90.00
_cell_angle_beta 106.33
_cell_angle_gamma 90.00
_space_group_name_H-M_alt 'P 1 2/m 1'
_space_group_IT_number 10
loop_
_space_group_symop_operation_xyz
'x,y,z'
'-x,-y,-z'
'-x,y,-z'
'x,-y,z'
loop_
_atom_site_label
_atom_site_fract_x
_atom_site_fract_y
_atom_site_fract_z
_atom_site_occupancy
Th1 0.193 0.000 0.191 1
Th2 0.215 0.500 0.788 1
Bi1 0.000 0.000 0.500 1
Bi2 0.500 0.500 0.500 1
Pb1 0.500 0.000 0.000 1
C1 0.000 0.500 0.000 1

No. 2
# LiTmCl2, relaxed, DFT GGA-PBE
# E (eV/cell): -48.2
# ρ (g/cm3): 4.29
# E_form (uncorrected) (meV per atom): -1499
# D(E_F) (states/eV/cell): 1.20
data_LiTmCl2
_cell_length_a 3.7137
_cell_length_b 3.7137
_cell_length_c 24.0058
_cell_angle_alpha 90.00
_cell_angle_beta 90.00
_cell_angle_gamma 120.00
_space_group_name_H-M_alt 'R -3 m'
_space_group_IT_number 166
_space_group_name_Hall '-R 3 2"'
loop_
_atom_site_label
_atom_site_fract_x
_atom_site_fract_y
_atom_site_fract_z
_atom_site_occupancy
Li1 0.0000 0.0000 0.0000 1
Tm1 0.0000 0.0000 0.5000 1
Cl1 0.0000 0.0000 0.3920 1

No. 3
# Cd6Cu6Pb, relaxed, DFT GGA-PBE
# E (eV/cell): -66.4
# ρ (g/cm3): 9.06
# Formation energy from the elements (eV per atom): 0.05
# D(E_F) (states/eV/cell): 8.83
data_Cd6Cu6Pb
_cell_length_a 5.308
_cell_length_b 9.288
_cell_length_c 9.386
_cell_angle_alpha 90.00
_cell_angle_beta 90.00
_cell_angle_gamma 90.00
_space_group_name_H-M_alt 'I m m m'
_space_group_IT_number 71
_space_group_name_Hall '-I 2 2'
loop_
_atom_site_label
_atom_site_fract_x
_atom_site_fract_y
_atom_site_fract_z
_atom_site_occupancy
Cd1 0.000 0.000 0.161 1
Cd2 0.000 0.315 0.000 1
Cd3 0.000 0.345 0.500 1
Cu1 0.000 0.500 0.241 1
Cu2 0.250 0.250 0.250 1
Pb1 0.000 0.000 0.500 1

No. 4
# BaSr3Ca4, relaxed, DFT GGA-PBE
# E (eV/cell): -28.6
# ρ (g/cm3): 2.35
# Formation energy from the elements (eV per atom): 0.09
# D(E_F) (states/eV/cell): 21.62
data_BaSr3Ca4
_cell_length_a 3.929
_cell_length_b 13.380
_cell_length_c 15.059
_cell_angle_alpha 90.00
_cell_angle_beta 90.00
_cell_angle_gamma 90.00
_space_group_name_H-M_alt 'I m m m'
_space_group_IT_number 71
_space_group_name_Hall '-I 2 2'
loop_
_atom_site_label
_atom_site_fract_x
_atom_site_fract_y
_atom_site_fract_z
_atom_site_occupancy
Ba1 0.000 0.000 0.000 1
Sr1 0.000 0.000 0.500 1
Sr2 0.000 0.500 0.256 1
Ca1 0.000 0.251 0.133 1

No. 5
# RbOsOF2, relaxed, DFT GGA-PBE
# E (eV/cell): -16.9
# ρ (g/cm3): 5.30
# E_form (uncorrected) (meV per atom): 806
# D(E_F) (states/eV/cell): 3.86
data_RbOsOF2
_cell_length_a 4.861
_cell_length_b 4.861
_cell_length_c 4.367
_cell_angle_alpha 90.00
_cell_angle_beta 90.00
_cell_angle_gamma 90.00
_space_group_name_H-M_alt 'P 4/m m m'
_space_group_IT_number 123
_space_group_name_Hall '-P 4 2'
loop_
_atom_site_label
_atom_site_fract_x
_atom_site_fract_y
_atom_site_fract_z
_atom_site_occupancy
Rb1 0.000 0.000 0.000 1
Os1 0.500 0.500 0.500 1
O1 0.000 0.000 0.500 1
F1 0.000 0.500 0.000 1

No. 6
# Ac2TiTl3Se6, relaxed, DFT GGA-PBE
# E (eV/cell): -116.5
# ρ (g/cm3): 7.02
# E_form (uncorrected) (meV per atom): -1177
# D(E_F) (states/eV/cell): 12.15
data_Ac2TiTl3Se6
_cell_length_a 7.525
_cell_length_b 12.984
_cell_length_c 8.099
_cell_angle_alpha 90.00
_cell_angle_beta 108.09
_cell_angle_gamma 90.00
_space_group_name_H-M_alt 'C 1 2/m 1'
_space_group_IT_number 12
loop_
_space_group_symop_operation_xyz
'x,y,z'
'-x,-y,-z'
'-x,y,-z'
'x,-y,z'
'x+1/2,y+1/2,z'
'-x+1/2,-y+1/2,-z'
'-x+1/2,y+1/2,-z'
'x+1/2,-y+1/2,z'
loop_
_atom_site_label
_atom_site_fract_x
_atom_site_fract_y
_atom_site_fract_z
_atom_site_occupancy
Ac1 0.000 0.165 0.000 1
Ti1 0.000 0.500 0.000 1
Tl1 0.000 0.000 0.500 1
Tl2 0.000 0.330 0.500 1
Se1 0.214 0.354 0.203 1
Se2 0.225 0.500 0.784 1

No. 7
# Tl2TcBr5, relaxed, DFT GGA-PBE
# E (eV/cell): -55.3
# ρ (g/cm3): 4.84
# E_form (uncorrected) (meV per atom): -524
# D(E_F) (states/eV/cell): 0.08
data_Tl2TcBr5
_cell_length_a 12.826
_cell_length_b 7.638
_cell_length_c 7.772
_cell_angle_alpha 90.00
_cell_angle_beta 125.29
_cell_angle_gamma 90.00
_space_group_name_H-M_alt 'C 1 m 1'
_space_group_IT_number 8
loop_
_space_group_symop_operation_xyz
'x,y,z'
'x,-y,z'
'x+1/2,y+1/2,z'
'x+1/2,-y+1/2,z'
loop_
_atom_site_label
_atom_site_fract_x
_atom_site_fract_y
_atom_site_fract_z
_atom_site_occupancy
Tl1 0.000 0.000 0.000 1
Tl2 0.007 0.500 0.561 1
Tc1 0.221 0.500 0.266 1
Br1 0.168 0.267 0.434 1
Br2 0.213 0.269 0.023 1
Br3 0.470 0.500 0.554 1

No. 8
# PaTiCrSe6, relaxed, DFT GGA-PBE
# E (eV/cell): -55.8
# ρ (g/cm3): 5.99
# E_form (uncorrected) (meV per atom): -879
data_PaTiCrSe6
_cell_length_a 6.4407
_cell_length_b 6.4407
_cell_length_c 6.2075
_cell_angle_alpha 90.00
_cell_angle_beta 90.00
_cell_angle_gamma 120.00
_space_group_name_H-M_alt 'P 3 1 2'
_space_group_IT_number 149
loop_
_space_group_symop_operation_xyz
'x,y,z'
'-y,x-y,z'
'-x+y,-x,z'
'-y,-x,-z'
'-x+y,y,-z'
'x,x-y,-z'
loop_
_atom_site_label
_atom_site_fract_x
_atom_site_fract_y
_atom_site_fract_z
_atom_site_occupancy
Pa1 0.0000 0.0000 0.0000 1
Ti1 0.3333 0.6667 0.5000 1
Cr1 0.6667 0.3333 0.5000 1
Se1 0.3495 0.0028 0.7321 1

No. 9
# Sm2YI8, relaxed, DFT GGA-PBE
# E (eV/cell): -83.8
# ρ (g/cm3): 3.69
# E_form (uncorrected) (meV per atom): -1234
# D(E_F) (states/eV/cell): 1.68
data_Sm2YI8
_cell_length_a 19.762
_cell_length_b 8.780
_cell_length_c 7.351
_cell_angle_alpha 90.00
_cell_angle_beta 97.34
_cell_angle_gamma 90.00
_space_group_name_H-M_alt 'C 1 2/m 1'
_space_group_IT_number 12
loop_
_space_group_symop_operation_xyz
'x,y,z'
'-x,-y,-z'
'-x,y,-z'
'x,-y,z'
'x+1/2,y+1/2,z'
'-x+1/2,-y+1/2,-z'
'-x+1/2,y+1/2,-z'
'x+1/2,-y+1/2,z'
loop_
_atom_site_label
_atom_site_fract_x
_atom_site_fract_y
_atom_site_fract_z
_atom_site_occupancy
Sm1 0.143 0.000 0.425 1
Y1 0.000 0.000 0.000 1
I1 0.058 0.257 0.259 1
I2 0.138 0.000 0.835 1
I3 0.215 0.500 0.641 1

No. 10
# SrPmSnPt, relaxed, DFT GGA-PBE
# E (eV/cell): -76.6
# ρ (g/cm3): 8.37
# Formation energy from the elements (eV per atom): -0.67
# D(E_F) (states/eV/cell): 13.11
data_SrPmSnPt
_cell_length_a 7.570
_cell_length_b 7.570
_cell_length_c 7.570
_cell_angle_alpha 90.00
_cell_angle_beta 90.00
_cell_angle_gamma 90.00
_space_group_name_H-M_alt 'F -4 3 m'
_space_group_IT_number 216
_space_group_name_Hall 'F -4 2 3'
loop_
_atom_site_label
_atom_site_fract_x
_atom_site_fract_y
_atom_site_fract_z
_atom_site_occupancy
Sr1 0.000 0.000 0.000 1
Pm1 0.000 0.000 0.500 1
Sn1 0.250 0.250 0.250 1
Pt1 0.250 0.250 0.750 1

No. 11
# Zn2AgCl, relaxed, DFT GGA-PBE
# E (eV/cell): -29.6
# ρ (g/cm3): 4.82
# E_form (uncorrected) (meV per atom): -41
# D(E_F) (states/eV/cell): 0.09
data_Zn2AgCl
_cell_length_a 6.713
_cell_length_b 6.713
_cell_length_c 8.373
_cell_angle_alpha 90.00
_cell_angle_beta 90.00
_cell_angle_gamma 90.00
_space_group_name_H-M_alt 'I -4 2 d'
_space_group_IT_number 122
_space_group_name_Hall 'I -4 2bw'
loop_
_atom_site_label
_atom_site_fract_x
_atom_site_fract_y
_atom_site_fract_z
_atom_site_occupancy
Zn1 0.245 0.250 0.125 1
Ag1 0.000 0.000 0.000 1
Cl1 0.000 0.000 0.500 1

No. 12
# LiSc2Te, relaxed, DFT GGA-PBE
# E (eV/cell): -38.9
# ρ (g/cm3): 4.40
# E_form (uncorrected) (meV per atom): -438
# D(E_F) (states/eV/cell): 8.04
data_LiSc2Te
_cell_length_a 6.509
_cell_length_b 6.525
_cell_length_c 3.991
_cell_angle_alpha 90.00
_cell_angle_beta 90.00
_cell_angle_gamma 90.00
_space_group_name_H-M_alt 'C m m m'
_space_group_IT_number 65
_space_group_name_Hall '-C 2 2'
loop_
_atom_site_label
_atom_site_fract_x
_atom_site_fract_y
_atom_site_fract_z
_atom_site_occupancy
Li1 0.000 0.000 0.000 1
Sc1 0.250 0.250 0.500 1
Te1 0.000 0.500 0.000 1